# 1
K2SiAu: relaxed, GGA-PBEsol.

Cell lengths 3.748, 4.969, 5.515 Å; angles 90.00, 90.00, 90.00 degrees
Space group Pmmm (No. 47)
Unique sites:
K 0.000 0.000 0.249 x2
Si 0.500 0.500 0.500 x1
Au 0.500 0.500 0.000 x1

The formation energy (no corrections) is 271 meV per atom.

***

# 2
LaTcRh2: relaxed, GGA-PBEsol.

Cell lengths 4.120, 4.131, 7.891 Å; angles 90.00, 90.00, 90.00 degrees
Space group Immm (No. 71)
Unique sites:
La 0.000 0.000 0.000 x2
Tc 0.000 0.000 0.500 x2
Rh 0.000 0.500 0.250 x4

As for the energy above the most stable polymorph in this dataset: 96 meV/atom. The value obtained for the formation energy is 12 kJ per mole of atoms.

***

# 3
YSiMo: relaxed, GGA-PBEsol.

Cell lengths 3.353, 3.353, 9.932 Å; angles 90.00, 90.00, 90.00 degrees
Space group I4mm (No. 107)
Unique sites:
Y 0.000 0.000 0.000 x2
Si 0.000 0.000 0.704 x2
Mo 0.000 0.000 0.297 x2

The formation energy (no corrections) is -245 meV per atom.